# 1
Material: AuI2Cl
Method: DFT, PBE
State: optimized geometry

D(E_F): 0.81 states/eV per atom
Formation energy without anion corrections: 0.169 eV/atom
Space-group type: I-42d, No. 122
Crystal system: tetragonal

POSCAR file:
```
AuI2Cl
1.0
8.339 0.000 0.000
0.000 8.339 0.000
4.169 4.169 3.585
I Au Cl
4 2 2
direct
0.692 0.125 0.250 I
0.058 0.625 0.250 I
0.375 0.308 0.750 I
0.875 0.942 0.750 I
0.000 0.000 0.000 Au
0.750 0.250 0.500 Au
0.500 0.500 0.000 Cl
0.250 0.750 0.500 Cl
```

# 2
Material: Au2I6Cl
Method: DFT, PBE
State: optimized geometry

D(E_F): 0.20 states/eV per atom
Formation energy without anion corrections: -0.007 eV/atom
Space-group type: C2/c, No. 15
Crystal system: monoclinic

POSCAR file:
```
Au2I6Cl
1.0
-7.822 -3.615 1.038
3.668 -8.884 2.081
0.182 0.873 9.794
Au I Cl
4 12 2
direct
0.366 0.617 0.765 Au
0.134 0.235 0.383 Au
0.634 0.383 0.235 Au
0.866 0.765 0.617 Au
0.588 0.625 0.572 I
0.912 0.428 0.375 I
0.412 0.375 0.428 I
0.088 0.572 0.625 I
0.749 0.009 0.274 I
0.751 0.726 0.991 I
0.251 0.991 0.726 I
0.249 0.274 0.009 I
0.243 0.564 0.018 I
0.257 0.982 0.436 I
0.757 0.436 0.982 I
0.743 0.018 0.564 I
0.250 0.003 0.997 Cl
0.750 0.997 0.003 Cl
```

# 3
Material: Au2I3Cl2
Method: DFT, PBE
State: optimized geometry

D(E_F): 0.55 states/eV per atom
Formation energy without anion corrections: -0.124 eV/atom
Space-group type: P-1, No. 2
Crystal system: triclinic

POSCAR file:
```
Au2I3Cl2
1.0
7.155 0.082 -0.294
-4.235 5.713 2.955
-1.567 0.396 6.757
Au I Cl
2 3 2
direct
0.575 0.881 0.818 Au
0.425 0.119 0.182 Au
0.000 0.000 0.000 I
0.810 0.189 0.425 I
0.190 0.811 0.575 I
0.384 0.610 0.177 Cl
0.616 0.390 0.823 Cl
```

# 4
Material: Au3I2Cl6
Method: DFT, PBE
State: optimized geometry

D(E_F): 0.39 states/eV per atom
Formation energy without anion corrections: -0.114 eV/atom
Space-group type: C2/c, No. 15
Crystal system: monoclinic

POSCAR file:
```
Au3I2Cl6
1.0
7.465 0.000 2.082
4.123 6.137 -0.357
-1.057 -3.291 18.211
Au I Cl
6 4 12
direct
0.928 0.914 0.761 Au
0.269 0.250 0.750 Au
0.603 0.586 0.739 Au
0.397 0.414 0.261 Au
0.072 0.086 0.239 Au
0.731 0.750 0.250 Au
0.359 0.802 0.986 I
0.853 0.302 0.486 I
0.641 0.198 0.014 I
0.147 0.698 0.514 I
0.901 0.844 0.879 Cl
0.332 0.045 0.828 Cl
0.619 0.456 0.844 Cl
0.377 0.344 0.379 Cl
0.081 0.956 0.344 Cl
0.794 0.545 0.328 Cl
0.099 0.156 0.121 Cl
0.668 0.955 0.172 Cl
0.381 0.544 0.156 Cl
0.623 0.656 0.621 Cl
0.919 0.044 0.656 Cl
0.206 0.455 0.672 Cl
```

# 5
Material: AuICl3
Method: DFT, PBE
State: optimized geometry

D(E_F): 0.82 states/eV per atom
Formation energy without anion corrections: 0.133 eV/atom
Space-group type: Pm-3m, No. 221
Crystal system: cubic

POSCAR file:
```
AuICl3
1.0
5.096 0.000 0.000
0.000 5.096 0.000
0.000 0.000 5.096
I Au Cl
1 1 3
direct
0.500 0.500 0.500 I
0.000 0.000 0.000 Au
0.000 0.500 0.000 Cl
0.000 0.000 0.500 Cl
0.500 0.000 0.000 Cl
```

# 6
Material: Au2ICl6
Method: DFT, PBE
State: optimized geometry

D(E_F): 0.25 states/eV per atom
Formation energy without anion corrections: -0.140 eV/atom
Space-group type: C2/c, No. 15
Crystal system: monoclinic

POSCAR file:
```
Au2ICl6
1.0
7.927 -0.921 -0.891
1.217 8.872 -0.090
1.217 0.197 8.870
Au I Cl
4 2 12
direct
0.368 0.675 0.746 Au
0.132 0.254 0.325 Au
0.632 0.325 0.254 Au
0.868 0.746 0.675 Au
0.250 0.080 0.920 I
0.750 0.920 0.080 I
0.591 0.602 0.600 Cl
0.909 0.400 0.398 Cl
0.409 0.398 0.400 Cl
0.091 0.600 0.602 Cl
0.796 0.919 0.346 Cl
0.704 0.654 0.081 Cl
0.204 0.081 0.654 Cl
0.296 0.346 0.919 Cl
0.205 0.778 0.941 Cl
0.295 0.059 0.222 Cl
0.795 0.222 0.059 Cl
0.705 0.941 0.778 Cl
```

# 7
Material: Au2I6Cl
Method: DFT, PBE
State: optimized geometry

D(E_F): 0.33 states/eV per atom
Formation energy without anion corrections: -0.020 eV/atom
Space-group type: P-1, No. 2
Crystal system: triclinic

POSCAR file:
```
Au2I6Cl
1.0
4.916 -0.963 0.211
-3.584 8.124 -2.540
-0.143 -0.352 11.598
Au I Cl
2 6 1
direct
0.786 0.380 0.825 Au
0.214 0.620 0.175 Au
0.283 0.032 0.703 I
0.727 0.273 0.032 I
0.273 0.727 0.968 I
0.917 0.506 0.631 I
0.083 0.494 0.369 I
0.717 0.968 0.297 I
0.000 0.000 0.500 Cl
```

# 8
Material: Au2ICl3
Method: DFT, PBE
State: optimized geometry

D(E_F): 0.46 states/eV per atom
Formation energy without anion corrections: -0.164 eV/atom
Space-group type: P-1, No. 2
Crystal system: triclinic

POSCAR file:
```
Au2ICl3
1.0
-1.379 3.408 0.720
-15.539 -14.706 22.113
9.038 5.640 -6.516
Au I Cl
4 2 6
direct
0.611 0.749 0.869 Au
0.389 0.251 0.131 Au
0.092 0.741 0.347 Au
0.908 0.259 0.653 Au
0.311 0.116 0.438 I
0.689 0.884 0.562 I
0.968 0.371 0.318 Cl
0.032 0.629 0.682 Cl
0.807 0.125 0.933 Cl
0.193 0.875 0.067 Cl
0.512 0.624 0.173 Cl
0.488 0.376 0.827 Cl
```